(1)
5
Lattice="7.276 0.000 0.000 0.000 7.276 0.000 0.000 0.000 7.276" Properties=species:S:1:pos:R:3 comment="Cs3ZrIn, relaxed, DFT GGA-PBE" rho_g_cm3=2.6 space_group="Pm-3m, No. 221" e_form_mev_per_atom=1077 de_polymorph_ev_per_atom=0.000 magnetic_moment_mub_per_fu=3.0 pbc="T T T"
Cs 3.638 0.000 0.000
Cs 0.000 3.638 0.000
Cs 0.000 0.000 3.638
Zr 3.638 3.638 3.638
In 0.000 0.000 0.000

---

(2)
5
Lattice="-3.033 0.019 -3.639 -1.151 -4.499 0.936 -7.051 -0.109 2.793" Properties=species:S:1:pos:R:3 comment="CsZr2In2, relaxed, DFT GGA-PBE" rho_g_cm3=5.9 space_group="I4/mmm, No. 139" e_form_mev_per_atom=589 de_polymorph_ev_per_atom=0.460 magnetic_moment_mub_per_fu=0.0 pbc="T T T"
In -6.088 -1.165 -1.098
In -5.147 -3.424 1.189
Cs 0.000 0.000 0.000
Zr -3.201 -1.763 -0.424
Zr -8.034 -2.825 0.515

---

no.,DOS(E_F) (states/eV per cell)
1,10.780
2,4.082